# 1
Compound: NbSbRu2Cl
Source: Alexandria via LeMat-Bulk
Functional: PBE
Structure: optimized geometry

## Properties
ΔE_f (raw), meV per atom: 890

Cell lengths 4.8229, 4.8229, 4.6634 Å; angles 90.00, 90.00, 90.00 degrees
With the nearest neighbours (Å) after each atom.
Space group P4/mmm (No. 123)
One atom of each set of equivalent atoms:
1 Nb 0.0000 0.0000 0.0000 [1 per cell]  2 Cl 2.33, 4 Ru 2.41
2 Sb 0.5000 0.5000 0.5000 [1 per cell]  8 Ru 3.35, 4 Cl 3.41
3 Ru 0.0000 0.5000 0.0000 [2 per cell]  2 Nb 2.41
4 Cl 0.0000 0.0000 0.5000 [1 per cell]  2 Nb 2.33

---

# 2
Compound: LiHgMo2
Source: Alexandria via LeMat-Bulk
Functional: PBE
Structure: optimized geometry

## Properties
Energy of formation from the pure elements, eV per atom: 0.40

Cell lengths 3.3474, 4.7513, 8.5096 Å; angles 90.00, 90.00, 90.00 degrees
With the nearest neighbours (Å) after each atom.
Space group Imm2 (No. 44)
One atom of each set of equivalent atoms:
1 Li 0.0000 0.0000 0.0000 [2 per cell]  2 Hg 2.65, 6 Mo 2.80-2.91
2 Hg 0.0000 0.5000 0.7408 [2 per cell]  2 Li 2.65, 6 Mo 2.91-2.95
3 Mo 0.0000 0.0000 0.5263 [2 per cell]  2 Mo 2.45
4 Mo 0.0000 0.5000 0.2362 [2 per cell]  2 Mo 2.45

---

# 3
Compound: LiAlN3
Source: Alexandria via LeMat-Bulk
Functional: PBE
Structure: optimized geometry

## Properties
ΔE_f (raw), meV per atom: 848

Cell lengths 3.7388, 3.7388, 3.7388 Å; angles 90.00, 90.00, 90.00 degrees
With the nearest neighbours (Å) after each atom.
Space group Pm-3m (No. 221)
One atom of each set of equivalent atoms:
1 Li 0.0000 0.0000 0.0000 [1 per cell]  12 N 2.64
2 Al 0.5000 0.5000 0.5000 [1 per cell]  6 N 1.87
3 N 0.0000 0.5000 0.5000 [3 per cell]  2 Al 1.87

---

# 4
Compound: TmThSc2S4
Source: Alexandria via LeMat-Bulk
Functional: PBE
Structure: optimized geometry

## Properties
ΔE_f (raw), meV per atom: -1841

Cell lengths 6.6346, 3.7901, 6.6671 Å; angles 90.00, 109.06, 90.00 degrees
With the nearest neighbours (Å) after each atom.
Space group P2/m (No. 10)
One atom of each set of equivalent atoms:
1 Tm 0.0000 0.0000 0.0000 [1 per cell]  6 S 2.74-2.75
2 Th 0.5000 0.5000 0.0000 [1 per cell]  6 S 2.82
3 Sc 0.0000 0.5000 0.5000 [1 per cell]  6 S 2.59-2.60
4 Sc 0.5000 0.0000 0.5000 [1 per cell]  6 S 2.67-2.68
5 S 0.2326 0.0000 0.7258 [2 per cell]  3 Sc 2.59-2.68, 1 Tm 2.75, 2 Th 2.82
6 S 0.2466 0.5000 0.2668 [2 per cell]  3 Sc 2.60-2.67, 2 Tm 2.74, 1 Th 2.82

---

# 5
Compound: Dy3SbTe3
Source: Alexandria via LeMat-Bulk
Functional: PBE
Structure: optimized geometry

## Properties
ΔE_f (raw), meV per atom: -1094

Cell lengths 7.7590, 7.7590, 32.4297 Å; angles 90.00, 90.00, 120.00 degrees
With the nearest neighbours (Å) after each atom.
Space group R-3 (No. 148, hexagonal axes)
One atom of each set of equivalent atoms:
1 Dy 0.0000 0.3754 0.0616 [18 per cell]  3 Te 2.90-3.04, 2 Sb 3.15
2 Sb 0.0000 0.0000 0.3333 [6 per cell]  6 Dy 3.15
3 Te 0.0000 0.3002 0.8938 [18 per cell]  3 Dy 2.90-3.04

---

# 6
Compound: SrMgSc2Ru
Source: Alexandria via LeMat-Bulk
Functional: PBE
Structure: optimized geometry

## Properties
Energy of formation from the pure elements, eV per atom: -0.14

Cell lengths 5.0110, 5.0110, 5.3663 Å; angles 90.00, 90.00, 90.00 degrees
With the nearest neighbours (Å) after each atom.
Space group P4/mmm (No. 123)
One atom of each set of equivalent atoms:
1 Sr 0.0000 0.0000 0.0000 [1 per cell]  4 Mg 3.54, 8 Sc 3.67
2 Mg 0.5000 0.5000 0.0000 [1 per cell]  2 Ru 2.68
3 Sc 0.0000 0.5000 0.5000 [2 per cell]  2 Ru 2.51
4 Ru 0.5000 0.5000 0.5000 [1 per cell]  4 Sc 2.51, 2 Mg 2.68

---

# 7
Compound: Pm2PrErAs4
Source: Alexandria via LeMat-Bulk
Functional: PBE
Structure: optimized geometry

## Properties
Energy of formation from the pure elements, eV per atom: -1.51

Cell lengths 7.3047, 4.2223, 7.3061 Å; angles 90.00, 109.47, 90.00 degrees
With the nearest neighbours (Å) after each atom.
Space group P2/m (No. 10)
One atom of each set of equivalent atoms:
1 Pm 0.0000 0.0000 0.0000 [1 per cell]  6 As 3.02
2 Pm 0.5000 0.5000 0.0000 [1 per cell]  6 As 2.97
3 Pr 0.0000 0.5000 0.5000 [1 per cell]  6 As 3.00
4 Er 0.5000 0.0000 0.5000 [1 per cell]  6 As 2.94-2.95
5 As 0.2560 0.0000 0.7495 [2 per cell]  1 Er 2.94, 3 Pm 2.97-3.02, 2 Pr 3.00
6 As 0.2577 0.5000 0.2550 [2 per cell]  2 Er 2.95, 3 Pm 2.97-3.02, 1 Pr 3.00

---

# 8
Compound: NdHo4Pd2
Source: Alexandria via LeMat-Bulk
Functional: PBE
Structure: optimized geometry

## Properties
Energy of formation from the pure elements, eV per atom: -0.38

Cell lengths 3.9496, 3.9496, 45.1812 Å; angles 90.00, 90.00, 120.00 degrees
With the nearest neighbours (Å) after each atom.
Space group R-3m (No. 166, hexagonal axes)
One atom of each set of equivalent atoms:
1 Nd 0.0000 0.0000 0.0000 [3 per cell]  6 Ho 3.66, 6 Nd 3.95
2 Ho 0.0000 0.0000 0.1977 [6 per cell]  3 Pd 2.81
3 Ho 0.0000 0.0000 0.3967 [6 per cell]  3 Pd 2.80
4 Pd 0.0000 0.0000 0.0995 [6 per cell]  6 Ho 2.80-2.81

---

# 9
Compound: CeYAl6
Source: Alexandria via LeMat-Bulk
Functional: PBE
Structure: optimized geometry

## Properties
Energy of formation from the pure elements, eV per atom: -0.43

Cell lengths 4.6400, 6.3373, 10.9614 Å; angles 90.00, 90.00, 90.00 degrees
With the nearest neighbours (Å) after each atom.
Space group Amm2 (No. 38)
One atom of each set of equivalent atoms:
1 Ce 0.0000 0.0000 0.0000 [2 per cell]  12 Al 3.10-3.18
2 Y 0.5000 0.0000 0.6672 [2 per cell]  12 Al 3.10-3.18
3 Al 0.0000 0.0000 0.4796 [2 per cell]  6 Al 2.77-2.82, 2 Y 3.10
4 Al 0.0000 0.2184 0.2606 [4 per cell]  6 Al 2.77-2.82
5 Al 0.5000 0.0000 0.1882 [2 per cell]  6 Al 2.76-2.82
6 Al 0.5000 0.2176 0.4062 [4 per cell]  6 Al 2.76-2.82

---

# 10
Compound: Sr2LiHIr
Source: Alexandria via LeMat-Bulk
Functional: PBE
Structure: optimized geometry

## Properties
Energy above the most stable polymorph in this dataset, meV/atom: 25

Cell lengths 5.0661, 5.0661, 4.0107 Å; angles 90.00, 90.00, 90.00 degrees
With the nearest neighbours (Å) after each atom.
Space group P4/mmm (No. 123)
One atom of each set of equivalent atoms:
1 Sr 0.0000 0.5000 0.0000 [2 per cell]  2 H 2.53
2 Li 0.0000 0.0000 0.5000 [1 per cell]  2 H 2.01
3 H 0.0000 0.0000 0.0000 [1 per cell]  2 Li 2.01
4 Ir 0.5000 0.5000 0.5000 [1 per cell]  8 Sr 3.23, 4 Li 3.58

---

Calculated values (Ha/atom) of uncorrected energy for the records, taken in order: -0.2215, -0.2046, -0.1940, -0.2563, -0.1838, -0.1904, -0.2273, -0.1896, -0.1759, -0.1335.
Calculated values (kg/m³) of mass density for the records, taken in order: 6923, 9801, 2413, 6488, 5846, 3733, 7018, 8299, 4028, 6056.